Record 1
## Tm2ZnSb4 (PBE)

Data for Tm2ZnSb4 after structural relaxation.

Geometry as POSCAR:
```
Tm2ZnSb4
1.0
4.311 0.000 0.000
0.000 4.311 0.000
0.000 0.000 9.784
Tm Zn Sb
2 1 4
direct
0.000 0.500 0.246
0.500 0.000 0.754
0.000 0.000 0.500
0.000 0.000 0.000
0.000 0.500 0.664
0.500 0.000 0.336
0.500 0.500 0.000
```

Results
DOS at the Fermi energy: 2.44 states/eV/f.u.
SG: P-4m2
crystal system: tetragonal
formation energy (no corrections): -0.592 eV per atom
E_tot: -30.9 eV per cell

---

Record 2
## Cs2KNa (PBE)

Data for Cs2KNa after structural relaxation.

Geometry as POSCAR:
```
Cs2KNa
1.0
7.369 -4.824 0.000
7.369 4.824 0.000
-1.719 0.000 4.741
Cs K Na
2 1 1
direct
0.196 0.196 0.197
0.804 0.804 0.803
0.415 0.585 0.000
0.737 0.263 0.500
```

Results
DOS at the Fermi energy: 3.42 states/eV/f.u.
SG: C2
crystal system: monoclinic
distance to the lowest polymorph of the same formula: 25 meV/atom
E_form: 39 meV per atom
E_tot: -4.0 eV per cell

---

Record 3
## ZrBeMo4 (PBE)

Data for ZrBeMo4 after structural relaxation.

Geometry as POSCAR:
```
ZrBeMo4
1.0
0.000 3.726 3.726
3.726 0.000 3.726
3.726 3.726 0.000
Zr Be Mo
1 1 4
direct
0.000 0.000 0.000
0.750 0.750 0.750
0.376 0.376 0.376
0.376 0.376 0.872
0.376 0.872 0.376
0.872 0.376 0.376
```

Results
DOS at the Fermi energy: 7.01 states/eV/f.u.
SG: F-43m
crystal system: cubic
E_form: 326 meV per atom
E_tot: -53.6 eV per cell

---

Record 4
## Ce2Al2InRh5 (PBE)

Data for Ce2Al2InRh5 after structural relaxation.

Geometry as POSCAR:
```
Ce2Al2InRh5
1.0
9.971 0.000 0.000
0.000 9.971 0.000
0.000 0.000 3.589
Ce Al In Rh
4 4 2 10
direct
0.178 0.322 0.000
0.322 0.822 0.000
0.678 0.178 0.000
0.822 0.678 0.000
0.120 0.620 0.000
0.380 0.120 0.000
0.620 0.880 0.000
0.880 0.380 0.000
0.000 0.000 0.000
0.500 0.500 0.000
0.000 0.500 0.500
0.072 0.788 0.500
0.212 0.072 0.500
0.288 0.572 0.500
0.428 0.288 0.500
0.500 0.000 0.500
0.572 0.712 0.500
0.712 0.428 0.500
0.788 0.928 0.500
0.928 0.212 0.500
```

Results
DOS at the Fermi energy: 8.81 states/eV/f.u.
SG: P4/mbm
crystal system: tetragonal
E_form: -760 meV per atom
E_tot: -132.9 eV per cell

---

Record 5
## Dy2AlAg (PBE)

Data for Dy2AlAg after structural relaxation.

Geometry as POSCAR:
```
Dy2AlAg
1.0
3.549 0.000 0.000
0.000 3.549 0.000
0.000 0.000 7.561
Dy Al Ag
2 1 1
direct
0.000 0.000 0.250
0.000 0.000 0.750
0.500 0.500 0.000
0.500 0.500 0.500
```

Results
DOS at the Fermi energy: 2.77 states/eV/f.u.
SG: P4/mmm
crystal system: tetragonal
E_form: -362 meV per atom
E_tot: -17.2 eV per cell

---

Record 6
## SiAg3S4 (PBE)

Data for SiAg3S4 after structural relaxation.

Geometry as POSCAR:
```
SiAg3S4
1.0
7.759 0.000 0.000
0.000 6.832 0.000
0.000 0.000 6.685
Si Ag S
2 6 8
direct
0.000 0.180 0.000
0.500 0.820 0.500
0.000 0.865 0.487
0.248 0.678 0.981
0.252 0.322 0.481
0.500 0.135 0.987
0.748 0.322 0.481
0.752 0.678 0.981
0.000 0.186 0.680
0.000 0.884 0.108
0.229 0.324 0.104
0.271 0.676 0.604
0.500 0.116 0.608
0.500 0.814 0.180
0.729 0.676 0.604
0.771 0.324 0.104
```

Results
DOS at the Fermi energy: 7.24 states/eV/f.u.
SG: Pmn2_1
crystal system: orthorhombic
distance to the lowest polymorph of the same formula: 4 meV/atom
formation energy (no corrections): -0.268 eV per atom
E_tot: -65.3 eV per cell

---

Record 7
## Ti3CrRu4 (PBE)

Data for Ti3CrRu4 after structural relaxation.

Geometry as POSCAR:
```
Ti3CrRu4
1.0
3.070 0.000 0.000
0.000 3.070 0.000
0.000 0.000 12.189
Ti Cr Ru
3 1 4
direct
0.000 0.000 0.000
0.000 0.000 0.254
0.000 0.000 0.746
0.000 0.000 0.500
0.500 0.500 0.127
0.500 0.500 0.378
0.500 0.500 0.622
0.500 0.500 0.873
```

Results
DOS at the Fermi energy: 6.01 states/eV/f.u.
SG: P4/mmm
crystal system: tetragonal
E_form: -507 meV per atom
E_tot: -74.5 eV per cell

---

Record 8
## MgAuN2F (PBE)

Data for MgAuN2F after structural relaxation.

Geometry as POSCAR:
```
MgAuN2F
1.0
3.887 0.000 0.000
0.000 3.887 0.000
0.000 0.000 5.023
Mg Au N F
1 1 2 1
direct
0.000 0.000 0.000
0.500 0.500 0.500
0.000 0.500 0.500
0.500 0.000 0.500
0.500 0.500 0.000
```

Results
DOS at the Fermi energy: 3.97 states/eV/f.u.
SG: P4/mmm
crystal system: tetragonal
distance to the lowest polymorph of the same formula: 83 meV/atom
formation energy (no corrections): 0.803 eV per atom
E_tot: -19.4 eV per cell

---

Record 9
## KAl3Co (PBE)

Data for KAl3Co after structural relaxation.

Geometry as POSCAR:
```
KAl3Co
1.0
4.657 0.000 0.000
0.000 4.657 0.000
0.000 0.000 4.657
K Al Co
1 3 1
direct
0.000 0.000 0.000
0.000 0.500 0.500
0.500 0.000 0.500
0.500 0.500 0.000
0.500 0.500 0.500
```

Results
DOS at the Fermi energy: 2.29 states/eV/f.u.
SG: Pm-3m
crystal system: cubic
distance to the lowest polymorph of the same formula: 0 meV/atom
E_form: -49 meV per atom
E_tot: -19.7 eV per cell

---

Record 10
## PrPuAsSe (PBE)

Data for PrPuAsSe after structural relaxation.

Geometry as POSCAR:
```
PrPuAsSe
1.0
2.116 1.222 6.867
-2.116 1.222 6.867
0.000 -2.443 6.867
Pr Pu As Se
1 1 1 1
direct
0.000 0.000 0.000
0.504 0.504 0.504
0.249 0.249 0.249
0.756 0.756 0.756
```

Results
DOS at the Fermi energy: 10.22 states/eV/f.u.
SG: R3m
crystal system: trigonal
formation energy (no corrections): -1.521 eV per atom
E_tot: -33.3 eV per cell

---

Record 11
## Ac2Mg3AgGe4 (PBE)

Data for Ac2Mg3AgGe4 after structural relaxation.

Geometry as POSCAR:
```
Ac2Mg3AgGe4
1.0
4.628 0.000 0.000
0.000 4.628 0.000
0.000 0.000 10.964
Ac Mg Ag Ge
2 3 1 4
direct
0.000 0.500 0.244
0.500 0.000 0.756
0.000 0.500 0.878
0.500 0.000 0.122
0.500 0.500 0.500
0.000 0.000 0.500
0.000 0.000 0.000
0.000 0.500 0.641
0.500 0.000 0.359
0.500 0.500 0.000
```

Results
DOS at the Fermi energy: 1.83 states/eV/f.u.
SG: P-4m2
crystal system: tetragonal
E_form: -468 meV per atom
E_tot: -39.0 eV per cell

---

Record 12
## AcYHo2As4 (PBE)

Data for AcYHo2As4 after structural relaxation.

Geometry as POSCAR:
```
AcYHo2As4
1.0
7.320 0.000 0.000
0.000 4.227 0.000
-2.430 0.000 6.906
Ac Y Ho As
1 1 2 4
direct
0.000 0.000 0.000
0.000 0.500 0.500
0.500 0.000 0.500
0.500 0.500 0.000
0.259 0.000 0.743
0.267 0.500 0.266
0.733 0.500 0.734
0.741 0.000 0.257
```

Results
DOS at the Fermi energy: 0.86 states/eV/f.u.
SG: P2/m
crystal system: monoclinic
E_form: -1475 meV per atom
E_tot: -50.1 eV per cell

---

Record 13
## Li2AlCd8 (PBE)

Data for Li2AlCd8 after structural relaxation.

Geometry as POSCAR:
```
Li2AlCd8
1.0
7.569 -3.273 0.000
7.569 3.273 0.000
-1.274 0.000 4.706
Li Al Cd
2 1 8
direct
0.186 0.186 0.188
0.814 0.814 0.812
0.500 0.500 0.500
0.080 0.628 0.344
0.222 0.778 0.000
0.327 0.327 0.816
0.372 0.920 0.656
0.628 0.080 0.344
0.673 0.673 0.184
0.778 0.222 0.000
0.920 0.372 0.656
```

Results
DOS at the Fermi energy: 3.13 states/eV/f.u.
SG: C2/m
crystal system: monoclinic
E_form: -65 meV per atom
E_tot: -15.6 eV per cell

---

Record 14
## LiPSe2 (PBE)

Data for LiPSe2 after structural relaxation.

Geometry as POSCAR:
```
LiPSe2
1.0
5.587 0.000 0.000
0.022 5.589 0.000
0.448 0.448 5.618
Li P Se
2 2 4
direct
0.248 0.253 0.000
0.752 0.747 0.000
0.294 0.795 0.592
0.706 0.205 0.408
0.248 0.748 0.988
0.279 0.222 0.500
0.721 0.778 0.500
0.752 0.252 0.012
```

Results
SG: P-1
crystal system: triclinic
formation energy (no corrections): -0.486 eV per atom
E_tot: -32.5 eV per cell

---

Record 15
## AcZrTe2 (PBE)

Data for AcZrTe2 after structural relaxation.

Geometry as POSCAR:
```
AcZrTe2
1.0
0.000 3.839 3.839
3.839 0.000 3.839
3.839 3.839 0.000
Ac Zr Te
1 1 2
direct
0.000 0.000 0.000
0.500 0.500 0.500
0.250 0.250 0.250
0.750 0.750 0.750
```

Results
DOS at the Fermi energy: 3.25 states/eV/f.u.
SG: Fm-3m
crystal system: cubic
distance to the lowest polymorph of the same formula: 66 meV/atom
formation energy (no corrections): -0.920 eV per atom
E_tot: -22.6 eV per cell

---

Record 16
## Pr2TlP (PBE)

Data for Pr2TlP after structural relaxation.

Geometry as POSCAR:
```
Pr2TlP
1.0
2.063 1.191 8.104
-2.063 1.191 8.104
0.000 -2.382 8.104
Pr Tl P
2 1 1
direct
0.235 0.235 0.235
0.765 0.765 0.765
0.000 0.000 0.000
0.500 0.500 0.500
```

Results
DOS at the Fermi energy: 2.21 states/eV/f.u.
SG: R-3m
crystal system: trigonal
distance to the lowest polymorph of the same formula: 0 meV/atom
E_form: -933 meV per atom
E_tot: -21.1 eV per cell

---

Record 17
## AcLa2Tb5Tm (PBE)

Data for AcLa2Tb5Tm after structural relaxation.

Geometry as POSCAR:
```
AcLa2Tb5Tm
1.0
-4.412 4.412 7.968
4.412 -4.412 7.968
4.412 4.412 -7.968
Ac La Tb Tm
2 4 10 2
direct
0.250 0.250 0.000
0.750 0.750 0.000
0.117 0.617 0.735
0.383 0.117 0.500
0.617 0.883 0.500
0.883 0.383 0.265
0.000 0.000 0.000
0.075 0.151 0.500
0.151 0.651 0.077
0.349 0.425 0.500
0.425 0.925 0.077
0.500 0.500 0.000
0.575 0.075 0.923
0.651 0.575 0.500
0.849 0.349 0.923
0.925 0.849 0.500
0.250 0.750 0.500
0.750 0.250 0.500
```

Results
DOS at the Fermi energy: 11.64 states/eV/f.u.
SG: I4/mcm
crystal system: tetragonal
E_form: 255 meV per atom
E_tot: -78.6 eV per cell

---

Record 18
## TbIn2Cu (PBE)

Data for TbIn2Cu after structural relaxation.

Geometry as POSCAR:
```
TbIn2Cu
1.0
4.453 0.000 0.000
0.000 4.453 0.000
0.000 0.000 4.505
Tb In Cu
1 2 1
direct
0.000 0.000 0.000
0.000 0.500 0.500
0.500 0.000 0.500
0.500 0.500 0.000
```

Results
DOS at the Fermi energy: 2.97 states/eV/f.u.
SG: P4/mmm
crystal system: tetragonal
E_form: -245 meV per atom
E_tot: -15.2 eV per cell

---

Record 19
## NbH3Ru3 (PBE)

Data for NbH3Ru3 after structural relaxation.

Geometry as POSCAR:
```
NbH3Ru3
1.0
4.031 0.000 0.000
0.000 4.031 0.000
0.000 0.000 4.031
Nb H Ru
1 3 3
direct
0.000 0.000 0.000
0.000 0.000 0.500
0.000 0.500 0.000
0.500 0.000 0.000
0.000 0.500 0.500
0.500 0.000 0.500
0.500 0.500 0.000
```

Results
DOS at the Fermi energy: 3.17 states/eV/f.u.
SG: Pm-3m
crystal system: cubic
E_tot: -48.5 eV per cell

---

Record 20
## TlSe2Br (PBE)

Data for TlSe2Br after structural relaxation.

Geometry as POSCAR:
```
TlSe2Br
1.0
5.614 0.000 0.000
0.000 5.614 0.000
0.000 0.000 3.240
Tl Se Br
1 2 1
direct
0.000 0.000 0.000
0.000 0.500 0.500
0.500 0.000 0.500
0.500 0.500 0.000
```

Results
DOS at the Fermi energy: 4.87 states/eV/f.u.
SG: P4/mmm
crystal system: tetragonal
distance to the lowest polymorph of the same formula: 633 meV/atom
formation energy (no corrections): 0.357 eV per atom
E_tot: -9.6 eV per cell